(1)
Density functional theory data (PBE) for a relaxed CsAlPO2 crystal.

- total DFT energy (no corrections) (eV/atom) = -4.59
- calculated volume (Å³ per atom) = 15.92
- energy relative to the elements, uncorrected (meV per atom) = -610
- excess energy over the best structure of this formula in the dataset (eV/f.u.) = 0.00

Cell lengths 3.986, 3.986, 5.010 Å; angles 90.00, 90.00, 90.00 degrees
Element x y z (fractional)
Al  0.000  0.000  0.000
Cs  0.500  0.500  0.500
O  0.500  0.000  0.000
O  0.000  0.500  0.000
P  0.000  0.000  0.500



(2)
Density functional theory data (PBE) for a relaxed Cd2BiF crystal.

- total DFT energy (no corrections) (eV/atom) = -2.53
- calculated volume (Å³ per atom) = 22.51
- energy relative to the elements, uncorrected (meV per atom) = -632
- excess energy over the best structure of this formula in the dataset (eV/f.u.) = 0.06

Cell lengths 3.372, 3.372, 9.350 Å; angles 79.61, 79.61, 60.00 degrees
Element x y z (fractional)
F  0.000  0.000  0.000
Cd  0.730  0.730  0.809
Cd  0.270  0.270  0.191
Bi  0.500  0.500  0.500



(3)
Density functional theory data (PBE) for a relaxed Hg4O3F crystal.

- total DFT energy (no corrections) (eV/atom) = -2.66
- calculated volume (Å³ per atom) = 19.78
- energy relative to the elements, uncorrected (meV per atom) = -415

Cell lengths 6.138, 6.644, 7.760 Å; angles 90.00, 90.00, 90.00 degrees
Element x y z (fractional)
Hg  0.634  0.197  0.500
Hg  0.134  0.803  0.000
O  0.507  0.839  0.000
Hg  0.632  0.653  0.773
O  0.007  0.161  0.500
Hg  0.132  0.347  0.273
F  0.513  0.829  0.500
Hg  0.132  0.347  0.727
Hg  0.632  0.653  0.227
F  0.013  0.171  0.000
O  0.506  0.330  0.750
O  0.006  0.670  0.250
Hg  0.085  0.830  0.500
O  0.006  0.670  0.750
O  0.506  0.330  0.250
Hg  0.585  0.170  0.000